# 1
A plane-wave DFT calculation with PBE was carried out for a relaxed Tl6Sb crystal.

It has space group P-31m (No. 162), with a = 9.1483 Å, b = 9.1483 Å, c = 3.4437 Å, α = 90.00°, β = 90.00° and γ = 120.00°. The distinct sites, in fractional coordinates, are Tl at (0.0000, 0.3379, 0.2272) and Sb at (0.0000, 0.0000, 0.5000).

As for the total magnetization: 0.0 μB per formula unit. The theoretical density comes out at 8.97 Mg/m³. The value obtained for the uncorrected formation energy is 0.093 eV per atom. The total energy comes out at -0.0927 Ha/atom. The value obtained for the density of states at the Fermi level is 5.110 states/eV per cell.

***

# 2
A plane-wave DFT calculation with PBE was carried out for a relaxed Tl6Sb crystal.

It has space group Im-3m (No. 229), with a = 8.491 Å, b = 8.491 Å, c = 8.491 Å, α = 90.00°, β = 90.00° and γ = 90.00°. The distinct sites, in fractional coordinates, are Tl at (0.000, 0.250, 0.500) and Sb at (0.000, 0.000, 0.000).

As for the total magnetization: 0.0 μB per formula unit. The theoretical density comes out at 7.31 Mg/m³. The value obtained for the uncorrected formation energy is 0.595 eV per atom. The total energy comes out at -0.0743 Ha/atom. The value obtained for the density of states at the Fermi level is 10.266 states/eV per cell.

***

# 3
A plane-wave DFT calculation with PBE was carried out for a relaxed Tl15Sb crystal.

It has space group P-6m2 (No. 187), with a = 7.1948 Å, b = 7.1948 Å, c = 11.1008 Å, α = 90.00°, β = 90.00° and γ = 120.00°. The distinct sites, in fractional coordinates, are Tl at (0.0000, 0.0000, 0.0000), Tl at (0.0069, 0.5035, 0.5000), Tl at (0.3324, 0.1662, 0.2540), Tl at (0.3333, 0.6667, 0.2423), Tl at (0.5003, 0.0006, 0.0000) and Sb at (0.0000, 0.0000, 0.5000).

As for the total magnetization: 0.0 μB per formula unit. The theoretical density comes out at 10.64 Mg/m³. The value obtained for the uncorrected formation energy is 0.006 eV per atom. The total energy comes out at -0.0908 Ha/atom. The value obtained for the density of states at the Fermi level is 7.845 states/eV per cell.

***

# 4
A plane-wave DFT calculation with PBE was carried out for a relaxed TlSb crystal.

It has space group I-43m (No. 217), with a = 9.323 Å, b = 9.323 Å, c = 9.323 Å, α = 90.00°, β = 90.00° and γ = 90.00°. The distinct sites, in fractional coordinates, are Tl at (0.162, 0.162, 0.838) and Sb at (0.159, 0.159, 0.159).

As for the total magnetization: 0.0 μB per formula unit. The theoretical density comes out at 5.35 Mg/m³. The value obtained for the uncorrected formation energy is 0.280 eV per atom. The total energy comes out at -0.1089 Ha/atom. The value obtained for the density of states at the Fermi level is 4.478 states/eV per cell.

***

# 5
A plane-wave DFT calculation with PBE was carried out for a relaxed TlSb3 crystal.

It has space group C2/m (No. 12), with a = 11.674 Å, b = 4.008 Å, c = 5.704 Å, α = 90.00°, β = 110.54° and γ = 90.00°. The distinct sites, in fractional coordinates, are Tl at (0.000, 0.000, 0.000), Sb at (0.000, 0.500, 0.500) and Sb at (0.221, 0.000, 0.667).

As for the total magnetization: 0.0 μB per formula unit. The theoretical density comes out at 7.57 Mg/m³. The value obtained for the uncorrected formation energy is 0.110 eV per atom. The total energy comes out at -0.1313 Ha/atom. The value obtained for the density of states at the Fermi level is 4.096 states/eV per cell.

***

# 6
A plane-wave DFT calculation with PBE was carried out for a relaxed Tl7Sb2 crystal.

It has space group Im-3m (No. 229), with a = 11.944 Å, b = 11.944 Å, c = 11.944 Å, α = 90.00°, β = 90.00° and γ = 90.00°. The distinct sites, in fractional coordinates, are Tl at (0.000, 0.000, 0.000), Tl at (0.000, 0.351, 0.351), Tl at (0.168, 0.168, 0.168) and Sb at (0.000, 0.000, 0.310).

As for the total magnetization: 0.0 μB per formula unit. The theoretical density comes out at 9.79 Mg/m³. The value obtained for the uncorrected formation energy is -0.013 eV per atom. The total energy comes out at -0.1018 Ha/atom. The value obtained for the density of states at the Fermi level is 24.032 states/eV per cell.

***

# 7
A plane-wave DFT calculation with PBE was carried out for a relaxed TlSb5 crystal.

It has space group F-43m (No. 216), with a = 8.960 Å, b = 8.960 Å, c = 8.960 Å, α = 90.00°, β = 90.00° and γ = 90.00°. The distinct sites, in fractional coordinates, are Tl at (0.000, 0.000, 0.000), Sb at (0.124, 0.124, 0.376) and Sb at (0.250, 0.250, 0.750).

As for the total magnetization: 0.0 μB per formula unit. The theoretical density comes out at 7.51 Mg/m³. The value obtained for the uncorrected formation energy is 0.267 eV per atom. The total energy comes out at -0.1309 Ha/atom. The value obtained for the density of states at the Fermi level is 12.960 states/eV per cell.

***

# 8
A plane-wave DFT calculation with PBE was carried out for a relaxed Tl5Sb4 crystal.

It has space group I4/mmm (No. 139), with a = 10.671 Å, b = 10.671 Å, c = 4.785 Å, α = 90.00°, β = 90.00° and γ = 90.00°. The distinct sites, in fractional coordinates, are Tl at (0.000, 0.000, 0.000), Tl at (0.168, 0.168, 0.500) and Sb at (0.000, 0.351, 0.000).

As for the total magnetization: 0.0 μB per formula unit. The theoretical density comes out at 9.20 Mg/m³. The value obtained for the uncorrected formation energy is 0.075 eV per atom. The total energy comes out at -0.1129 Ha/atom. The value obtained for the density of states at the Fermi level is 6.328 states/eV per cell.